1.
VASP calculation (PBE-GGA) on a relaxed structure of LiSb3Pt.

Lattice parameters (Å, degrees): 5.3461 5.3461 5.3461 90.00 90.00 90.00
Space group Pm-3m (No. 221)
Asymmetric unit:
Li (0.0000, 0.0000, 0.0000) x1
Sb (0.0000, 0.5000, 0.5000) x3
Pt (0.5000, 0.5000, 0.5000) x1

**Total DFT energy (no corrections)**: -19.2 eV/cell



2.
VASP calculation (PBE-GGA) on a relaxed structure of LiSbPt3.

Lattice parameters (Å, degrees): 9.1364 5.2546 8.6636 90.00 117.95 90.00
Space group P2_1/c (No. 14)
Asymmetric unit:
Li (0.1314, 0.1644, 0.0568) x4
Sb (0.3755, 0.7468, 0.9848) x4
Pt (0.0257, 0.5720, 0.7841) x4
Pt (0.2006, 0.6592, 0.1443) x4
Pt (0.2989, 0.2497, 0.3853) x4

**Total DFT energy (no corrections)**: -104.3 eV/cell



3.
VASP calculation (PBE-GGA) on a relaxed structure of LiSbPt4.

Lattice parameters (Å, degrees): 4.5558 9.5535 4.5349 90.00 103.48 90.00
Space group C2/m (No. 12)
Asymmetric unit:
Li (0.0000, 0.0000, 0.0000) x2
Sb (0.0000, 0.5000, 0.5000) x2
Pt (0.0000, 0.1575, 0.5000) x4
Pt (0.0000, 0.3409, 0.0000) x4

**Total DFT energy (no corrections)**: -64.7 eV/cell



4.
VASP calculation (PBE-GGA) on a relaxed structure of Li2Sb2Pt5.

Lattice parameters (Å, degrees): 15.1714 7.0185 5.7891 90.00 90.00 90.00
Space group Ima2 (No. 46)
Asymmetric unit:
Li (0.0698, 0.0823, 0.0000) x8
Sb (0.0000, 0.0000, 0.4716) x4
Sb (0.2500, 0.6391, 0.9325) x4
Pt (0.0924, 0.7428, 0.2299) x8
Pt (0.1594, 0.1405, 0.6308) x8
Pt (0.2500, 0.0256, 0.0300) x4

**Total DFT energy (no corrections)**: -181.2 eV/cell



5.
VASP calculation (PBE-GGA) on a relaxed structure of LiScSbPt.

Lattice parameters (Å, degrees): 6.6538 6.6538 6.6538 90.00 90.00 90.00
Space group F-43m (No. 216)
Asymmetric unit:
Li (0.0000, 0.0000, 0.0000) x4
Sc (0.0000, 0.0000, 0.5000) x4
Sb (0.2500, 0.2500, 0.2500) x4
Pt (0.2500, 0.2500, 0.7500) x4

**Total DFT energy (no corrections)**: -85.9 eV/cell



6.
VASP calculation (PBE-GGA) on a relaxed structure of Sr2LiSb3Pt4.

Lattice parameters (Å, degrees): 4.6310 4.6310 10.6037 90.00 90.00 90.00
Space group P-4m2 (No. 115)
Asymmetric unit:
Sr (0.0000, 0.5000, 0.2498) x2
Li (0.0000, 0.0000, 0.5000) x1
Sb (0.0000, 0.5000, 0.8697) x2
Sb (0.5000, 0.5000, 0.5000) x1
Pt (0.0000, 0.0000, 0.0000) x1
Pt (0.0000, 0.5000, 0.6236) x2
Pt (0.5000, 0.5000, 0.0000) x1

**Total DFT energy (no corrections)**: -50.1 eV/cell



7.
VASP calculation (PBE-GGA) on a relaxed structure of Sr2Li3Sb4Pt.

Lattice parameters (Å, degrees): 4.7466 4.7466 10.8154 90.00 90.00 90.00
Space group P-4m2 (No. 115)
Asymmetric unit:
Sr (0.0000, 0.5000, 0.2395) x2
Li (0.0000, 0.0000, 0.0000) x1
Li (0.0000, 0.5000, 0.6320) x2
Sb (0.0000, 0.0000, 0.5000) x1
Sb (0.0000, 0.5000, 0.8784) x2
Sb (0.5000, 0.5000, 0.5000) x1
Pt (0.5000, 0.5000, 0.0000) x1

**Total DFT energy (no corrections)**: -38.8 eV/cell



8.
VASP calculation (PBE-GGA) on a relaxed structure of LiTbSbPt.

Lattice parameters (Å, degrees): 6.8316 6.8316 6.8316 90.00 90.00 90.00
Space group F-43m (No. 216)
Asymmetric unit:
Li (0.0000, 0.0000, 0.0000) x4
Tb (0.2500, 0.2500, 0.7500) x4
Sb (0.2500, 0.2500, 0.2500) x4
Pt (0.0000, 0.0000, 0.5000) x4

**Total DFT energy (no corrections)**: -79.0 eV/cell



9.
VASP calculation (PBE-GGA) on a relaxed structure of LiSb2TePt.

Lattice parameters (Å, degrees): 5.2060 5.2060 5.7689 90.00 90.00 90.00
Space group P4/mmm (No. 123)
Asymmetric unit:
Li (0.0000, 0.0000, 0.0000) x1
Sb (0.0000, 0.5000, 0.5000) x2
Te (0.5000, 0.5000, 0.0000) x1
Pt (0.5000, 0.5000, 0.5000) x1

**Total DFT energy (no corrections)**: -18.6 eV/cell



10.
VASP calculation (PBE-GGA) on a relaxed structure of LiSbTe2Pt.

Lattice parameters (Å, degrees): 5.5973 5.5973 5.0549 90.00 90.00 90.00
Space group P4/mmm (No. 123)
Asymmetric unit:
Li (0.0000, 0.0000, 0.0000) x1
Sb (0.5000, 0.5000, 0.0000) x1
Te (0.0000, 0.5000, 0.5000) x2
Pt (0.5000, 0.5000, 0.5000) x1

**Total DFT energy (no corrections)**: -17.9 eV/cell



11.
VASP calculation (PBE-GGA) on a relaxed structure of LiSb2TePt.

Lattice parameters (Å, degrees): 4.8500 4.8500 4.9292 90.00 90.00 90.00
Space group P4/mmm (No. 123)
Asymmetric unit:
Li (0.0000, 0.0000, 0.0000) x1
Sb (0.0000, 0.5000, 0.0000) x2
Te (0.0000, 0.0000, 0.5000) x1
Pt (0.5000, 0.5000, 0.5000) x1

**Total DFT energy (no corrections)**: -16.7 eV/cell



12.
VASP calculation (PBE-GGA) on a relaxed structure of LiTiSbPt.

Lattice parameters (Å, degrees): 6.4636 6.4636 6.4636 90.00 90.00 90.00
Space group F-43m (No. 216)
Asymmetric unit:
Li (0.0000, 0.0000, 0.0000) x4
Ti (0.0000, 0.0000, 0.5000) x4
Sb (0.2500, 0.2500, 0.2500) x4
Pt (0.2500, 0.2500, 0.7500) x4

**Total DFT energy (no corrections)**: -88.8 eV/cell



13.
VASP calculation (PBE-GGA) on a relaxed structure of LiTmSbPt.

Lattice parameters (Å, degrees): 6.7722 6.7722 6.7722 90.00 90.00 90.00
Space group F-43m (No. 216)
Asymmetric unit:
Li (0.0000, 0.0000, 0.0000) x4
Tm (0.2500, 0.2500, 0.2500) x4
Sb (0.2500, 0.2500, 0.7500) x4
Pt (0.0000, 0.0000, 0.5000) x4

**Total DFT energy (no corrections)**: -78.1 eV/cell



14.
VASP calculation (PBE-GGA) on a relaxed structure of LiZrSbPt.

Lattice parameters (Å, degrees): 6.7277 6.7277 6.7277 90.00 90.00 90.00
Space group F-43m (No. 216)
Asymmetric unit:
Li (0.0000, 0.0000, 0.0000) x4
Zr (0.0000, 0.0000, 0.5000) x4
Sb (0.2500, 0.2500, 0.7500) x4
Pt (0.2500, 0.2500, 0.2500) x4

**Total DFT energy (no corrections)**: -92.6 eV/cell



15.
VASP calculation (PBE-GGA) on a relaxed structure of LiSc2Pt9.

Lattice parameters (Å, degrees): 3.9780 3.9780 11.8466 90.00 90.00 90.00
Space group P4/mmm (No. 123)
Asymmetric unit:
Li (0.0000, 0.0000, 0.0000) x1
Sc (0.0000, 0.0000, 0.3276) x2
Pt (0.0000, 0.5000, 0.1596) x4
Pt (0.0000, 0.5000, 0.5000) x2
Pt (0.5000, 0.5000, 0.0000) x1
Pt (0.5000, 0.5000, 0.3306) x2

**Formation energy from the elements**: -0.830 eV/atom



16.
VASP calculation (PBE-GGA) on a relaxed structure of LiScPt6.

Lattice parameters (Å, degrees): 3.9655 3.9655 7.8273 90.00 90.00 90.00
Space group P4/mmm (No. 123)
Asymmetric unit:
Li (0.0000, 0.0000, 0.0000) x1
Sc (0.0000, 0.0000, 0.5000) x1
Pt (0.0000, 0.5000, 0.2420) x4
Pt (0.5000, 0.5000, 0.0000) x1
Pt (0.5000, 0.5000, 0.5000) x1

**Formation energy from the elements**: -0.723 eV/atom



17.
VASP calculation (PBE-GGA) on a relaxed structure of LiScPt4.

Lattice parameters (Å, degrees): 7.4710 7.4710 7.4710 90.00 90.00 90.00
Space group F-43m (No. 216)
Asymmetric unit:
Li (0.0000, 0.0000, 0.0000) x4
Sc (0.2500, 0.2500, 0.2500) x4
Pt (0.1253, 0.1253, 0.6253) x16

**Formation energy from the elements**: -0.741 eV/atom



18.
VASP calculation (PBE-GGA) on a relaxed structure of Li2Sc3Pt3.

Lattice parameters (Å, degrees): 7.9877 7.9877 5.2199 90.00 90.00 120.00
Space group P6_3/mcm (No. 193)
Asymmetric unit:
Li (0.3333, 0.6667, 0.0000) x4
Sc (0.0000, 0.2664, 0.2500) x6
Pt (0.0000, 0.3840, 0.7500) x6

**Formation energy from the elements**: -0.933 eV/atom



19.
VASP calculation (PBE-GGA) on a relaxed structure of LiSc3Pt3.

Lattice parameters (Å, degrees): 9.1323 9.1406 6.3935 90.00 90.00 90.00
Space group Cmmm (No. 65)
Asymmetric unit:
Li (0.0000, 0.2428, 0.0000) x4
Sc (0.0000, 0.2488, 0.5000) x4
Sc (0.2458, 0.0000, 0.5000) x4
Sc (0.2466, 0.5000, 0.0000) x4
Pt (0.0000, 0.0000, 0.2450) x4
Pt (0.2500, 0.2500, 0.2474) x8

**Formation energy from the elements**: -0.924 eV/atom



20.
VASP calculation (PBE-GGA) on a relaxed structure of LiSc4Pt.

Lattice parameters (Å, degrees): 7.9841 7.9841 7.9841 90.00 90.00 90.00
Space group F-43m (No. 216)
Asymmetric unit:
Li (0.0000, 0.0000, 0.0000) x4
Sc (0.1231, 0.1231, 0.3769) x16
Pt (0.2500, 0.2500, 0.7500) x4

**Formation energy from the elements**: 0.226 eV/atom